DFT (PBE+U) results for SrMnRuO6 after structural relaxation.

## Properties
As for the uncorrected energy: -61.75 eV for the cell shown. For the magnetic moment, the calculation gives 0.558 μB per atom. For the density of states at the Fermi level, the calculation gives 4.8 states/eV/cell.

a b c (Å): 5.127 5.127 5.439
angles (deg): 90.00 90.00 120.00
Fractional positions:
Sr  0.000  0.000  0.000
Mn  0.333  0.667  0.500
Ru  0.667  0.333  0.500
O  0.002  0.380  0.698
O  0.002  0.622  0.302
O  0.378  0.380  0.302
O  0.378  0.998  0.698
O  0.620  0.622  0.698
O  0.620  0.998  0.302